{
  "formula": "Mg2ScFeH",
  "functional": "PBE",
  "state": "optimized geometry",
  "final_energy_ev_per_cell": -21.1,
  "magmom_total_mub_per_cell": 1.6,
  "lattice_angstrom": [[-2.0025, -3.5778, 0.7598], [3.7569, -1.8605, 1.1410], [-0.6142, 1.1829, 3.9511]],
  "species": ["Sc", "H", "Mg", "Mg", "Fe"],
  "fractional_positions": [[0.0000, 0.5000, 0.0000], [0.0000, 0.0000, 0.0000], [0.0000, 0.0000, 0.5000], [0.5000, 0.0000, 0.0000], [0.5000, 0.5000, 0.5000]]
}